# 1
Entry from the Alexandria database: Li2Mn2OF6 after structural relaxation (PBE with a Hubbard U).

Computed properties:
total moment: 16.00 Bohr magnetons per cell
energy relative to the lowest polymorph listed for this composition: 61 meV/atom
space group: P-1 (2)

Cell lengths 5.548, 6.293, 8.934 Å; angles 72.09, 77.67, 86.63 degrees
Positions (direct):
Li 0.023 0.246 0.368
Li 0.428 0.616 0.725
Li 0.572 0.384 0.275
Li 0.977 0.754 0.632
Mn 0.159 0.997 0.826
Mn 0.299 0.801 0.300
Mn 0.701 0.199 0.700
Mn 0.841 0.003 0.174
O 0.020 0.095 0.645
O 0.980 0.905 0.355
F 0.098 0.698 0.841
F 0.201 0.914 0.051
F 0.234 0.501 0.305
F 0.314 0.716 0.534
F 0.353 0.276 0.778
F 0.453 0.097 0.250
F 0.547 0.903 0.750
F 0.647 0.724 0.222
F 0.686 0.284 0.466
F 0.766 0.499 0.695
F 0.799 0.086 0.949
F 0.902 0.302 0.159

# 2
Entry from the Alexandria database: CrPSeO2 after structural relaxation (PBE with a Hubbard U).

Computed properties:
total moment: 1.44 Bohr magnetons per cell
energy relative to the lowest polymorph listed for this composition: 0 meV/atom
space group: P4/mmm (123)

Cell lengths 3.629, 3.629, 5.826 Å; angles 90.00, 90.00, 90.00 degrees
Positions (direct):
Cr 0.000 0.000 0.000
P 0.000 0.000 0.500
Se 0.500 0.500 0.500
O 0.000 0.500 0.000
O 0.500 0.000 0.000